Entry 1:
BeMo2Pt | the Alexandria database | meta-GGA SCAN | PBEsol geometry; total magnetization = 0.0 μB/cell; formation energy = -0.14 eV/atom; symmetry = No. 65; uncorrected energy = -1.3310 Ha/atom
1.0
2.6577 0.0000 0.0000
0.0000 4.8713 -0.0219
0.0000 -2.3393 4.2730
Pt Mo Be
1 2 1
Direct
0.5000 0.0000 0.0000
0.0000 0.0000 0.5000
0.0000 0.5000 0.0000
0.5000 0.5000 0.5000

***

Entry 2:
Be2MoPt | the Alexandria database | meta-GGA SCAN | PBEsol geometry; total magnetization = 0.0 μB/cell; formation energy = -0.38 eV/atom; symmetry = No. 38; uncorrected energy = -1.0595 Ha/atom; distance to the lowest polymorph of the same formula = 0.00 eV/f.u.
1.0
2.7390 0.0000 0.0000
0.0000 3.7974 0.0000
-1.3695 0.0000 4.3798
Mo Pt Be
1 1 2
Direct
0.4723 0.0000 0.9445
0.7731 0.5000 0.5463
0.0527 0.5000 0.1053
0.2000 0.0000 0.4000

***

Entry 3:
BeMo3Pt | the Alexandria database | meta-GGA SCAN | PBEsol geometry; total magnetization = 0.0 μB/cell; formation energy = 0.50 eV/atom; symmetry = No. 221; uncorrected energy = -1.2988 Ha/atom
1.0
-4.0855 -0.5640 -0.4328
0.6754 -2.2917 -3.3895
0.2218 -3.4098 2.3496
Be Mo Pt
1 3 1
Direct
0.0000 0.0000 0.0000
0.5000 0.0000 0.0000
0.0000 0.0000 0.5000
0.0000 0.5000 0.0000
0.5000 0.5000 0.5000